w) {"formula": "Ti4ReNi", "functional": "PBE-GGA", "state": "relaxed", "dos_ef_per_ev_cell": 8.44, "cell": [[3.109, -0.001, 0.000], [0.001, 3.109, 0.000], [0.000, 0.000, 9.462]], "species": ["Re", "Ti", "Ti", "Ti", "Ti", "Ni"], "fractional_positions": [[0.000, 0.000, 0.000], [0.000, 0.000, 0.655], [0.000, 0.000, 0.345], [0.500, 0.500, 0.840], [0.500, 0.500, 0.160], [0.500, 0.500, 0.500]]}

x) {"formula": "Ti4ReNi", "functional": "PBE-GGA", "state": "relaxed", "dos_ef_per_ev_cell": 8.61, "cell": [[-1.620, 0.199, 4.014], [1.345, -2.791, 3.020], [4.679, 3.321, 4.063]], "species": ["Ti", "Ti", "Ti", "Ni", "Re", "Ti"], "fractional_positions": [[0.376, 0.376, 0.873], [0.128, 0.128, 0.616], [0.872, 0.872, 0.384], [0.500, 0.500, 0.500], [0.000, 0.000, 0.000], [0.624, 0.624, 0.127]]}

Most stable structure - w); separation to the second - 35.2 kJ/mol of atoms.

w) {"formula": "TiRe2Ni", "functional": "PBE-GGA", "state": "relaxed", "dos_ef_per_ev_cell": 9.90, "cell": [[7.015, 0.000, 0.000], [0.000, 7.015, 0.000], [3.508, 3.508, 2.514]], "species": ["Ni", "Ti", "Re", "Re", "Ni", "Re", "Re", "Ti"], "fractional_positions": [[0.000, 0.000, 0.000], [0.250, 0.750, 0.500], [0.875, 0.905, 0.750], [0.655, 0.125, 0.250], [0.750, 0.250, 0.500], [0.375, 0.345, 0.750], [0.095, 0.625, 0.250], [0.500, 0.500, 0.000]]}

x) {"formula": "TiRe2Ni", "functional": "PBE-GGA", "state": "relaxed", "dos_ef_per_ev_cell": 2.53, "cell": [[0.000, 3.047, 3.047], [3.047, 0.000, 3.047], [3.047, 3.047, 0.000]], "species": ["Ni", "Ti", "Re", "Re"], "fractional_positions": [[0.500, 0.500, 0.500], [0.000, 0.000, 0.000], [0.750, 0.750, 0.750], [0.250, 0.250, 0.250]]}

Most stable structure - x); separation to the second - 40.8 kJ/mol of atoms.

w) {"formula": "TiRe3Ni", "functional": "PBE-GGA", "state": "relaxed", "dos_ef_per_ev_cell": 7.73, "cell": [[4.491, 0.000, 0.000], [0.000, 4.491, 0.000], [0.000, 0.000, 4.491]], "species": ["Ti", "Ni", "Re", "Re", "Re"], "fractional_positions": [[0.000, 0.000, 0.000], [0.500, 0.500, 0.500], [0.500, 0.000, 0.000], [0.000, 0.000, 0.500], [0.000, 0.500, 0.000]]}

x) {"formula": "TiRe3Ni", "functional": "PBE-GGA", "state": "relaxed", "dos_ef_per_ev_cell": 10.00, "cell": [[-3.108, -2.151, -2.285], [1.342, -3.818, 1.769], [-2.837, 0.551, 3.340]], "species": ["Re", "Re", "Ni", "Re", "Ti"], "fractional_positions": [[0.500, 0.000, 0.000], [0.000, 0.000, 0.500], [0.000, 0.000, 0.000], [0.000, 0.500, 0.000], [0.500, 0.500, 0.500]]}

Most stable structure - x); separation to the second - 59.4 kJ/mol of atoms.

w) {"formula": "Ti3ReNi", "functional": "PBE-GGA", "state": "relaxed", "dos_ef_per_ev_cell": 6.80, "cell": [[4.417, 0.000, 0.000], [0.000, 4.417, 0.000], [0.000, 0.000, 4.417]], "species": ["Ti", "Ni", "Ti", "Re", "Ti"], "fractional_positions": [[0.000, 0.000, 0.500], [0.000, 0.000, 0.000], [0.500, 0.000, 0.000], [0.500, 0.500, 0.500], [0.000, 0.500, 0.000]]}

x) {"formula": "Ti3ReNi", "functional": "PBE-GGA", "state": "relaxed", "dos_ef_per_ev_cell": 9.92, "cell": [[4.709, 0.000, 0.000], [0.000, 4.709, 0.000], [0.000, 0.000, 4.709]], "species": ["Ti", "Ti", "Re", "Ni", "Ti"], "fractional_positions": [[0.000, 0.500, 0.000], [0.000, 0.000, 0.500], [0.000, 0.000, 0.000], [0.500, 0.500, 0.500], [0.500, 0.000, 0.000]]}

Most stable structure - w); separation to the second - 26.3 kJ/mol of atoms.

w) {"formula": "TlReNi2", "functional": "PBE-GGA", "state": "relaxed", "dos_ef_per_ev_cell": 2.82, "cell": [[-0.298, -2.278, -1.621], [2.729, 0.115, -0.666], [1.626, -4.411, 5.900]], "species": ["Tl", "Ni", "Ni", "Re"], "fractional_positions": [[0.500, 0.500, 0.750], [0.000, 0.000, 0.470], [0.000, 0.000, 0.030], [0.500, 0.500, 0.250]]}

x) {"formula": "TlReNi2", "functional": "PBE-GGA", "state": "relaxed", "dos_ef_per_ev_cell": 3.36, "cell": [[4.501, -0.019, -0.006], [0.717, 4.443, 0.006], [-2.605, -2.217, 2.926]], "species": ["Ni", "Tl", "Ni", "Re"], "fractional_positions": [[0.000, 0.000, 0.000], [0.250, 0.750, 0.500], [0.500, 0.500, 0.000], [0.750, 0.250, 0.500]]}

y) {"formula": "TlReNi2", "functional": "PBE-GGA", "state": "relaxed", "dos_ef_per_ev_cell": 2.66, "cell": [[2.936, -0.016, 0.000], [0.017, 2.936, 0.000], [0.000, 0.000, 6.884]], "species": ["Tl", "Ni", "Ni", "Re"], "fractional_positions": [[0.500, 0.500, 0.771], [0.500, 0.500, 0.242], [0.000, 0.000, 0.044], [0.000, 0.000, 0.443]]}

Most stable structure - w); separation to the second - 12.9 kJ/mol of atoms.

w) {"formula": "TlReNi2", "functional": "PBE-GGA", "state": "relaxed", "dos_ef_per_ev_cell": 4.84, "cell": [[5.329, 0.002, 0.013], [2.651, 4.623, -0.013], [-3.393, -3.341, 2.391]], "species": ["Ni", "Tl", "Re", "Ni"], "fractional_positions": [[0.985, 0.985, 0.000], [0.241, 0.741, 0.500], [0.519, 0.519, 0.000], [0.755, 0.255, 0.500]]}

x) {"formula": "TlReNi2", "functional": "PBE-GGA", "state": "relaxed", "dos_ef_per_ev_cell": 5.44, "cell": [[-1.128, -4.454, -0.662], [3.944, 0.435, -2.410], [1.455, -0.703, 2.256]], "species": ["Tl", "Ni", "Ni", "Re"], "fractional_positions": [[0.000, 0.500, 0.500], [0.000, 0.000, 0.000], [0.500, 0.500, 0.000], [0.500, 0.000, 0.500]]}

y) {"formula": "TlReNi2", "functional": "PBE-GGA", "state": "relaxed", "dos_ef_per_ev_cell": 12.18, "cell": [[6.887, 0.000, 0.000], [0.000, 6.887, 0.000], [3.443, 3.443, 2.747]], "species": ["Ni", "Ni", "Tl", "Re", "Ni", "Ni", "Tl", "Re"], "fractional_positions": [[0.875, 0.847, 0.750], [0.375, 0.403, 0.750], [0.000, 0.000, 0.000], [0.500, 0.500, 0.000], [0.153, 0.625, 0.250], [0.597, 0.125, 0.250], [0.750, 0.250, 0.500], [0.250, 0.750, 0.500]]}

Most stable structure - x); separation to the second - 3.0 kJ/mol of atoms.

w) {"formula": "TlReNi2", "functional": "PBE-GGA", "state": "relaxed", "dos_ef_per_ev_cell": 3.46, "cell": [[4.600, 0.000, 0.000], [0.000, 4.600, 0.000], [0.000, 0.000, 2.769]], "species": ["Ni", "Tl", "Re", "Ni"], "fractional_positions": [[0.000, 0.000, 0.000], [0.000, 0.500, 0.500], [0.500, 0.000, 0.500], [0.500, 0.500, 0.000]]}

x) {"formula": "TlReNi2", "functional": "PBE-GGA", "state": "relaxed", "dos_ef_per_ev_cell": 4.39, "cell": [[-2.225, 0.571, -8.422], [-2.776, -2.204, -7.978], [-4.746, -0.230, -7.324]], "species": ["Tl", "Ni", "Re", "Ni"], "fractional_positions": [[0.750, 0.750, 0.750], [0.994, 0.994, 0.994], [0.250, 0.250, 0.250], [0.506, 0.506, 0.506]]}

y) {"formula": "TlReNi2", "functional": "PBE-GGA", "state": "relaxed", "dos_ef_per_ev_cell": 3.61, "cell": [[3.559, 0.000, 0.000], [0.000, 2.838, 0.064], [0.000, 2.735, 5.957]], "species": ["Ni", "Tl", "Ni", "Re"], "fractional_positions": [[0.000, 0.539, 0.459], [0.500, 0.750, 0.750], [0.000, 0.961, 0.041], [0.500, 0.250, 0.250]]}

z) {"formula": "TlReNi2", "functional": "PBE-GGA", "state": "relaxed", "dos_ef_per_ev_cell": 5.21, "cell": [[8.637, -0.021, -0.012], [8.162, 2.826, -0.012], [8.162, 1.363, 2.476]], "species": ["Ni", "Re", "Tl", "Ni"], "fractional_positions": [[0.252, 0.252, 0.252], [0.511, 0.511, 0.511], [0.745, 0.745, 0.745], [0.992, 0.992, 0.992]]}

Most stable structure - y); separation to the second - 9.5 kJ/mol of atoms.

w) {"formula": "TlReNi2", "functional": "PBE-GGA", "state": "relaxed", "dos_ef_per_ev_cell": 4.00, "cell": [[4.849, 0.039, 0.000], [1.775, 4.512, 0.000], [-3.312, -2.276, 2.714]], "species": ["Re", "Tl", "Ni", "Ni"], "fractional_positions": [[0.500, 0.500, 0.000], [0.750, 0.250, 0.500], [0.250, 0.750, 0.500], [0.000, 0.000, 0.000]]}

x) {"formula": "TlReNi2", "functional": "PBE-GGA", "state": "relaxed", "dos_ef_per_ev_cell": 3.12, "cell": [[0.000, 3.082, 3.082], [3.082, 0.000, 3.082], [3.082, 3.082, 0.000]], "species": ["Ni", "Re", "Tl", "Ni"], "fractional_positions": [[0.750, 0.750, 0.750], [0.000, 0.000, 0.000], [0.500, 0.500, 0.500], [0.250, 0.250, 0.250]]}

y) {"formula": "TlReNi2", "functional": "PBE-GGA", "state": "relaxed", "dos_ef_per_ev_cell": 5.20, "cell": [[4.395, 0.000, 0.000], [2.197, 3.806, 0.000], [2.197, 1.269, 3.588]], "species": ["Ni", "Tl", "Re", "Ni"], "fractional_positions": [[0.750, 0.750, 0.750], [0.250, 0.250, 0.250], [0.500, 0.500, 0.500], [0.000, 0.000, 0.000]]}

Most stable structure - x); separation to the second - 5.3 kJ/mol of atoms.

w) {"formula": "Tl2ReNi", "functional": "PBE-GGA", "state": "relaxed", "dos_ef_per_ev_cell": 4.12, "cell": [[3.062, 0.000, 0.000], [0.000, 5.343, 0.000], [0.000, 0.000, 4.606]], "species": ["Ni", "Tl", "Tl", "Re"], "fractional_positions": [[0.500, 0.000, 0.500], [0.500, 0.500, 0.000], [0.000, 0.000, 0.000], [0.000, 0.500, 0.500]]}

x) {"formula": "Tl2ReNi", "functional": "PBE-GGA", "state": "relaxed", "dos_ef_per_ev_cell": 3.41, "cell": [[-1.197, -3.866, -3.885], [-1.879, -5.123, -1.300], [-4.880, 0.171, -1.204]], "species": ["Tl", "Tl", "Re", "Ni"], "fractional_positions": [[0.768, 0.768, 0.682], [0.979, 0.979, 0.065], [0.216, 0.216, 0.212], [0.537, 0.537, 0.541]]}

Most stable structure - x); separation to the second - 23.6 kJ/mol of atoms.

w) {"formula": "Tl2ReNi", "functional": "PBE-GGA", "state": "relaxed", "dos_ef_per_ev_cell": 4.27, "cell": [[5.431, -0.001, 0.000], [2.486, 4.829, 0.000], [-3.958, -2.414, 2.829]], "species": ["Tl", "Ni", "Tl", "Re"], "fractional_positions": [[0.250, 0.750, 0.500], [0.500, 0.500, 0.000], [0.000, 0.000, 0.000], [0.750, 0.250, 0.500]]}

x) {"formula": "Tl2ReNi", "functional": "PBE-GGA", "state": "relaxed", "dos_ef_per_ev_cell": 2.60, "cell": [[2.932, 0.000, 0.000], [0.000, 2.932, 0.000], [0.000, 0.000, 9.825]], "species": ["Tl", "Re", "Tl", "Ni"], "fractional_positions": [[0.500, 0.500, 0.313], [0.500, 0.500, 0.693], [0.000, 0.000, 0.943], [0.000, 0.000, 0.551]]}

Most stable structure - x); separation to the second - 42.6 kJ/mol of atoms.

w) {"formula": "Tl2ReNi", "functional": "PBE-GGA", "state": "relaxed", "dos_ef_per_ev_cell": 3.27, "cell": [[-0.281, -2.982, -0.669], [5.178, -0.102, -1.722], [4.682, -1.104, 2.950]], "species": ["Tl", "Ni", "Tl", "Re"], "fractional_positions": [[0.000, 0.000, 0.000], [0.500, 0.500, 0.500], [0.500, 0.500, 0.000], [0.000, 0.000, 0.500]]}

x) {"formula": "Tl2ReNi", "functional": "PBE-GGA", "state": "relaxed", "dos_ef_per_ev_cell": 4.32, "cell": [[-2.371, 1.812, -1.605], [-0.605, -2.519, -1.950], [-4.470, -2.155, 4.170]], "species": ["Ni", "Re", "Tl", "Tl"], "fractional_positions": [[0.500, 0.500, 0.250], [0.500, 0.500, 0.750], [0.000, 0.000, 0.489], [0.000, 0.000, 0.011]]}

Most stable structure - w); separation to the second - 2.6 kJ/mol of atoms.